A relaxed FeSnP2 crystal. Source: Alexandria via LeMat-Bulk, functional PBE.

The calculation puts the energy of formation from the pure elements at 0.571 eV/atom. As for the density of states at the Fermi level: 11.2 states/eV per cell. The total magnetic moment is 3.04 μB/f.u. For the total energy, the calculation gives -5.250 eV/atom.

The space group is R-3m (No. 166, hexagonal axes) and the conventional cell measures 3.7648, 3.7648 and 22.4186 Å, with angles of 90.00, 90.00 and 120.00 degrees. The asymmetric unit holds Fe at (0.0000, 0.0000, 0.0000), Sn at (0.0000, 0.0000, 0.5000) and P at (0.0000, 0.0000, 0.0980).

=====

A relaxed FeSn2P2 crystal. Source: Alexandria via LeMat-Bulk, functional PBE.

The calculation puts the energy of formation from the pure elements at 0.022 eV/atom. As for the density of states at the Fermi level: 5.2 states/eV per cell. The total magnetic moment is 1.19 μB/f.u. For the total energy, the calculation gives -5.435 eV/atom.

The space group is P4/mbm (No. 127) and the conventional cell measures 5.792, 5.792 and 5.453 Å, with angles of 90.00, 90.00 and 90.00 degrees. The asymmetric unit holds Fe at (0.000, 0.000, 0.000), Sn at (0.200, 0.300, 0.500) and P at (0.137, 0.363, 0.000).

=====

A relaxed FeSnP crystal. Source: Alexandria via LeMat-Bulk, functional PBE.

The calculation puts the energy of formation from the pure elements at -0.129 eV/atom. As for the density of states at the Fermi level: 6.4 states/eV per cell. The total magnetic moment is 0.00 μB/f.u. For the total energy, the calculation gives -6.087 eV/atom.

The space group is P2_1 (No. 4) and the conventional cell measures 5.779, 6.409 and 5.785 Å, with angles of 90.00, 109.39 and 90.00 degrees. The asymmetric unit holds Fe at (0.025, 0.000, 0.195), Fe at (0.438, 0.507, 0.283), Sn at (0.103, 0.144, 0.648), Sn at (0.410, 0.649, 0.843), P at (0.110, 0.322, 0.138) and P at (0.377, 0.840, 0.371).

=====

A relaxed FeTc2SnP crystal. Source: Alexandria via LeMat-Bulk, functional PBE.

The calculation puts the energy of formation from the pure elements at 0.244 eV/atom. As for the density of states at the Fermi level: 3.9 states/eV per cell. The total magnetic moment is 2.88 μB/f.u. For the total energy, the calculation gives -7.477 eV/atom.

The space group is P4/mmm (No. 123) and the conventional cell measures 4.455, 4.455 and 4.134 Å, with angles of 90.00, 90.00 and 90.00 degrees. The asymmetric unit holds Fe at (0.000, 0.000, 0.000), Tc at (0.000, 0.500, 0.500), Sn at (0.500, 0.500, 0.000) and P at (0.000, 0.000, 0.500).

=====

A relaxed VFeSn2P crystal. Source: Alexandria via LeMat-Bulk, functional PBE.

The calculation puts the energy of formation from the pure elements at 0.880 eV/atom. As for the density of states at the Fermi level: 6.7 states/eV per cell. The total magnetic moment is 4.79 μB/f.u. For the total energy, the calculation gives -5.319 eV/atom.

The space group is P4/mmm (No. 123) and the conventional cell measures 5.116, 5.116 and 4.382 Å, with angles of 90.00, 90.00 and 90.00 degrees. The asymmetric unit holds V at (0.000, 0.000, 0.000), Fe at (0.500, 0.500, 0.000), Sn at (0.000, 0.500, 0.500) and P at (0.000, 0.000, 0.500).

=====

A relaxed Sr2FeP crystal. Source: Alexandria via LeMat-Bulk, functional PBE.

The calculation puts the energy of formation from the pure elements at -0.246 eV/atom. As for the density of states at the Fermi level: 12.0 states/eV per cell. The total magnetic moment is 2.58 μB/f.u. For the total energy, the calculation gives -4.555 eV/atom.

The space group is Imm2 (No. 44) and the conventional cell measures 4.102, 4.279 and 14.827 Å, with angles of 90.00, 90.00 and 90.00 degrees. The asymmetric unit holds Sr at (0.000, 0.000, 0.000), Sr at (0.000, 0.500, 0.261), Fe at (0.000, 0.500, 0.853) and P at (0.000, 0.000, 0.413).

=====

A relaxed Sr2FeP2 crystal. Source: Alexandria via LeMat-Bulk, functional PBE.

The calculation puts the energy of formation from the pure elements at -0.426 eV/atom. As for the density of states at the Fermi level: 6.2 states/eV per cell. The total magnetic moment is 2.14 μB/f.u. For the total energy, the calculation gives -4.955 eV/atom.

The space group is P4/mbm (No. 127) and the conventional cell measures 6.836, 6.836 and 4.613 Å, with angles of 90.00, 90.00 and 90.00 degrees. The asymmetric unit holds Sr at (0.179, 0.321, 0.000), Fe at (0.000, 0.000, 0.500) and P at (0.125, 0.625, 0.500).

=====

A relaxed SrFeP2 crystal. Source: Alexandria via LeMat-Bulk, functional PBE.

The calculation puts the energy of formation from the pure elements at 0.185 eV/atom. As for the density of states at the Fermi level: 6.6 states/eV per cell. The total magnetic moment is 3.17 μB/f.u. For the total energy, the calculation gives -5.056 eV/atom. Its distance to the lowest polymorph of the same formula is 0.783 eV per atom.

The space group is Cmmm (No. 65) and the conventional cell measures 5.852, 7.108 and 3.744 Å, with angles of 90.00, 90.00 and 90.00 degrees. The asymmetric unit holds Sr at (0.000, 0.000, 0.000), Fe at (0.000, 0.500, 0.000) and P at (0.250, 0.250, 0.500).

=====

A relaxed SrFeP2 crystal. Source: Alexandria via LeMat-Bulk, functional PBE.

The calculation puts the energy of formation from the pure elements at -0.040 eV/atom. As for the density of states at the Fermi level: 3.0 states/eV per cell. The total magnetic moment is 1.57 μB/f.u. For the total energy, the calculation gives -5.281 eV/atom. Its distance to the lowest polymorph of the same formula is 0.558 eV per atom.

The space group is P4mm (No. 99) and the conventional cell measures 3.248, 3.248 and 6.794 Å, with angles of 90.00, 90.00 and 90.00 degrees. The asymmetric unit holds Sr at (0.000, 0.000, 0.000), Fe at (0.500, 0.500, 0.378), P at (0.000, 0.000, 0.464) and P at (0.500, 0.500, 0.706).

=====

A relaxed Sr2FeP crystal. Source: Alexandria via LeMat-Bulk, functional PBE.

The calculation puts the energy of formation from the pure elements at 0.405 eV/atom. As for the density of states at the Fermi level: 23.2 states/eV per cell. The total magnetic moment is 2.04 μB/f.u. For the total energy, the calculation gives -3.904 eV/atom.

The space group is F-43m (No. 216) and the conventional cell measures 7.192, 7.192 and 7.192 Å, with angles of 90.00, 90.00 and 90.00 degrees. The asymmetric unit holds Sr at (0.000, 0.000, 0.000), Sr at (0.250, 0.250, 0.250), Fe at (0.000, 0.000, 0.500) and P at (0.250, 0.250, 0.750).

=====

A relaxed SrFeP crystal. Source: Alexandria via LeMat-Bulk, functional PBE.

The calculation puts the energy of formation from the pure elements at 0.841 eV/atom. As for the density of states at the Fermi level: 40.6 states/eV per cell. The total magnetic moment is 3.56 μB/f.u. For the total energy, the calculation gives -4.343 eV/atom.

The space group is F-43m (No. 216) and the conventional cell measures 6.879, 6.879 and 6.879 Å, with angles of 90.00, 90.00 and 90.00 degrees. The asymmetric unit holds Sr at (0.000, 0.000, 0.000), Fe at (0.250, 0.250, 0.750) and P at (0.250, 0.250, 0.250).

=====

A relaxed SrFe2P crystal. Source: Alexandria via LeMat-Bulk, functional PBE.

The calculation puts the energy of formation from the pure elements at 0.536 eV/atom. As for the density of states at the Fermi level: 9.4 states/eV per cell. The total magnetic moment is 5.64 μB/f.u. For the total energy, the calculation gives -5.468 eV/atom.

The space group is I4/mmm (No. 139) and the conventional cell measures 4.079, 4.079 and 8.778 Å, with angles of 90.00, 90.00 and 90.00 degrees. The asymmetric unit holds Sr at (0.000, 0.000, 0.000), Fe at (0.000, 0.500, 0.250) and P at (0.000, 0.000, 0.500).

=====

Question: Which formula does entry 3 have?
Answer: FeSnP